# 1
## AlZnTe2I (GGA-PBE)

Data for crystalline AlZnTe2I at its relaxed geometry. Values from VASP.

Cell and atoms, written as Quantum ESPRESSO input:
```
&SYSTEM
  ibrav = 0, nat = 5, ntyp = 4
/
ATOMIC_SPECIES
Al 26.98 Al.upf
Zn 65.41 Zn.upf
Te 127.60 Te.upf
I 126.90 I.upf
CELL_PARAMETERS angstrom
5.414 0.000 0.000
0.000 5.414 0.000
0.000 0.000 5.499
ATOMIC_POSITIONS crystal
Al 0.000 0.000 0.000
Zn 0.500 0.500 0.500
Te 0.000 0.500 0.000
Te 0.500 0.000 0.000
I 0.000 0.000 0.500
```

Values from the calculation:
uncorrected formation energy: 238 meV per atom
space-group type: P4/mmm, No. 123
excess energy over the best structure of this formula in the dataset: 0 meV per atom

# 2
## PaS3Br (GGA-PBE)

Data for crystalline PaS3Br at its relaxed geometry. Values from VASP.

Cell and atoms, written as Quantum ESPRESSO input:
```
&SYSTEM
  ibrav = 0, nat = 10, ntyp = 3
/
ATOMIC_SPECIES
Pa 231.04 Pa.upf
S 32.06 S.upf
Br 79.90 Br.upf
CELL_PARAMETERS angstrom
3.959 0.000 0.000
0.000 9.166 0.000
-0.664 0.000 8.256
ATOMIC_POSITIONS crystal
Pa 0.151 0.250 0.471
Pa 0.849 0.750 0.529
S 0.343 0.552 0.403
S 0.343 0.948 0.403
S 0.351 0.750 0.739
S 0.649 0.250 0.261
S 0.657 0.052 0.597
S 0.657 0.448 0.597
Br 0.107 0.250 0.809
Br 0.893 0.750 0.191
```

Values from the calculation:
uncorrected formation energy: -1085 meV per atom
space-group type: P2_1/m, No. 11

# 3
## Ba2LaCo2 (GGA-PBE)

Data for crystalline Ba2LaCo2 at its relaxed geometry. Values from VASP.

Cell and atoms, written as Quantum ESPRESSO input:
```
&SYSTEM
  ibrav = 0, nat = 10, ntyp = 3
/
ATOMIC_SPECIES
Ba 137.33 Ba.upf
La 138.91 La.upf
Co 58.93 Co.upf
CELL_PARAMETERS angstrom
7.508 0.000 0.000
0.000 7.508 0.000
0.000 0.000 5.220
ATOMIC_POSITIONS crystal
Ba 0.170 0.330 0.000
Ba 0.330 0.830 0.000
Ba 0.670 0.170 0.000
Ba 0.830 0.670 0.000
La 0.000 0.000 0.500
La 0.500 0.500 0.500
Co 0.105 0.605 0.500
Co 0.395 0.105 0.500
Co 0.605 0.895 0.500
Co 0.895 0.395 0.500
```

Values from the calculation:
space-group type: P4/mbm, No. 127
energy of formation from the pure elements: 1.80 eV/f.u.

# 4
## AsP2Ir (GGA-PBE)

Data for crystalline AsP2Ir at its relaxed geometry. Values from VASP.

Cell and atoms, written as Quantum ESPRESSO input:
```
&SYSTEM
  ibrav = 0, nat = 4, ntyp = 3
/
ATOMIC_SPECIES
As 74.92 As.upf
P 30.97 P.upf
Ir 192.22 Ir.upf
CELL_PARAMETERS angstrom
2.824 0.000 0.000
0.000 2.824 0.000
0.000 0.000 8.446
ATOMIC_POSITIONS crystal
As 0.000 0.000 0.000
P 0.000 0.000 0.420
P 0.500 0.500 0.732
Ir 0.500 0.500 0.257
```

Values from the calculation:
space-group type: P4mm, No. 99
energy of formation from the pure elements: 1.38 eV/f.u.

These records have raw total energy values of -2.332, -5.795, -4.238, -5.737 eV/atom, in the order they appear.